# Ho4W6O19

Crystalline Ho4W6O19 at its relaxed geometry (PBE with a Hubbard U, Alexandria).

abc: 7.8603 7.8603 7.8603
angles: 109.47 109.47 109.47
Fractional positions:
Ho1 0.0000 0.0000 0.7136
Ho2 0.0000 0.7136 0.0000
Ho3 0.2864 0.2864 0.2864
Ho4 0.7136 0.0000 0.0000
W1 0.1426 0.6426 0.5000
W2 0.3574 0.5000 0.8574
W3 0.5000 0.1426 0.6426
W4 0.5000 0.8574 0.3574
W5 0.6426 0.5000 0.1426
W6 0.8574 0.3574 0.5000
O1 0.0000 0.0000 0.0000
O2 0.0000 0.3159 0.3159
O3 0.0000 0.6841 0.6841
O4 0.0461 0.2862 0.6697
O5 0.2401 0.9539 0.6235
O6 0.2862 0.6697 0.0461
O7 0.3159 0.0000 0.3159
O8 0.3159 0.3159 0.0000
O9 0.3303 0.6165 0.3765
O10 0.3765 0.3303 0.6165
O11 0.3835 0.7138 0.7599
O12 0.6165 0.3765 0.3303
O13 0.6235 0.2401 0.9539
O14 0.6697 0.0461 0.2862
O15 0.6841 0.0000 0.6841
O16 0.6841 0.6841 0.0000
O17 0.7138 0.7599 0.3835
O18 0.7599 0.3835 0.7138
O19 0.9539 0.6235 0.2401

Computed properties:
SG   I23, No. 197
V   12.89 A^3/atom
Electronic total energy   -225.4 eV for the cell shown
Total magnetic moment   4.0 μB/f.u.